[1]
A geometry-optimized LiAcPt2Au structure. Source: the Alexandria database, functional PBE.

Values from the calculation:
V, Å³/atom: 21.4
Energy of formation from the pure elements, eV/f.u.: -3.92
Calculated density, g/cm3: 12.73
SG: I-4m2, No. 119

a b c (Å): 4.122 4.122 12.614
angles (deg): 90.00 90.00 90.00
Positions (direct):
Li  0.000  0.000  0.000
Li  0.500  0.500  0.500
Ac  0.000  0.500  0.250
Ac  0.500  0.000  0.750
Pt  0.000  0.500  0.645
Pt  0.000  0.500  0.855
Pt  0.500  0.000  0.145
Pt  0.500  0.000  0.355
Au  0.000  0.000  0.500
Au  0.500  0.500  0.000

[2]
A geometry-optimized Ba2LiSi2 structure. Source: the Alexandria database, functional PBE.

Values from the calculation:
V, Å³/atom: 32.6
Formation energy without anion corrections, eV/atom: -0.0010
Calculated density, g/cm3: 3.44
SG: I4/mmm, No. 139

a b c (Å): 6.562 6.562 7.575
angles (deg): 90.00 90.00 90.00
Positions (direct):
Ba  0.000  0.500  0.250
Ba  0.000  0.500  0.750
Ba  0.500  0.000  0.250
Ba  0.500  0.000  0.750
Li  0.000  0.000  0.000
Li  0.500  0.500  0.500
Si  0.000  0.000  0.348
Si  0.000  0.000  0.652
Si  0.500  0.500  0.152
Si  0.500  0.500  0.848

[3]
A geometry-optimized K2MnVS structure. Source: the Alexandria database, functional PBE.

Values from the calculation:
V, Å³/atom: 35.5
Formation energy without anion corrections, eV/atom: 0.3906
Calculated density, g/cm3: 2.02
SG: P4/mmm, No. 123

a b c (Å): 6.244 6.244 4.551
angles (deg): 90.00 90.00 90.00
Positions (direct):
K  0.000  0.500  0.000
K  0.500  0.000  0.000
Mn  0.000  0.000  0.500
V  0.500  0.500  0.500
S  0.500  0.500  0.000

[4]
A geometry-optimized SnTeOF2 structure. Source: the Alexandria database, functional PBE.

Values from the calculation:
V, Å³/atom: 17.4
Excess energy over the best structure of this formula in the dataset, meV per atom: 0
Formation energy without anion corrections, eV/atom: -1.0406
Calculated density, g/cm3: 5.74
SG: P4/mmm, No. 123

a b c (Å): 4.602 4.602 4.100
angles (deg): 90.00 90.00 90.00
Positions (direct):
Sn  0.000  0.000  0.000
Te  0.500  0.500  0.500
O  0.000  0.000  0.500
F  0.000  0.500  0.000
F  0.500  0.000  0.000

[5]
A geometry-optimized Ti3Ge structure. Source: the Alexandria database, functional PBE.

Values from the calculation:
V, Å³/atom: 16.2
Energy of formation from the pure elements, eV/f.u.: -1.57
Calculated density, g/cm3: 5.54
SG: I4/mmm, No. 139

a b c (Å): 3.886 3.886 8.588
angles (deg): 90.00 90.00 90.00
Positions (direct):
Ti  0.000  0.000  0.000
Ti  0.000  0.500  0.250
Ti  0.000  0.500  0.750
Ti  0.500  0.000  0.250
Ti  0.500  0.000  0.750
Ti  0.500  0.500  0.500
Ge  0.000  0.000  0.500
Ge  0.500  0.500  0.000

[6]
A geometry-optimized Th8Te4PtS3 structure. Source: the Alexandria database, functional PBE.

Values from the calculation:
V, Å³/atom: 28.0
Formation energy without anion corrections, eV/atom: -1.3748
Calculated density, g/cm3: 9.84
SG: R-3m, No. 166

a b c (Å): 8.871 8.871 8.871
angles (deg): 56.06 56.06 56.06
Positions (direct):
Th  0.233  0.739  0.739
Th  0.236  0.236  0.236
Th  0.261  0.261  0.767
Th  0.261  0.767  0.261
Th  0.739  0.233  0.739
Th  0.739  0.739  0.233
Th  0.764  0.764  0.764
Th  0.767  0.261  0.261
Te  0.000  0.000  0.000
Te  0.000  0.500  0.500
Te  0.500  0.000  0.500
Te  0.500  0.500  0.000
Pt  0.500  0.500  0.500
S  0.000  0.000  0.500
S  0.000  0.500  0.000
S  0.500  0.000  0.000

[7]
A geometry-optimized Nd2Al2Cu15 structure. Source: the Alexandria database, functional PBE.

Values from the calculation:
V, Å³/atom: 14.5
Energy of formation from the pure elements, eV/f.u.: -2.96
Calculated density, g/cm3: 7.79
SG: R-3m, No. 166

a b c (Å): 6.565 6.565 6.565
angles (deg): 82.42 82.42 82.42
Positions (direct):
Nd  0.150  0.150  0.150
Nd  0.850  0.850  0.850
Al  0.397  0.397  0.397
Al  0.603  0.603  0.603
Cu  0.000  0.500  0.500
Cu  0.154  0.154  0.650
Cu  0.154  0.650  0.154
Cu  0.207  0.500  0.793
Cu  0.207  0.793  0.500
Cu  0.350  0.846  0.846
Cu  0.500  0.000  0.500
Cu  0.500  0.207  0.793
Cu  0.500  0.500  0.000
Cu  0.500  0.793  0.207
Cu  0.650  0.154  0.154
Cu  0.793  0.207  0.500
Cu  0.793  0.500  0.207
Cu  0.846  0.350  0.846
Cu  0.846  0.846  0.350

[8]
A geometry-optimized CrPd2Pt9 structure. Source: the Alexandria database, functional PBE.

Values from the calculation:
V, Å³/atom: 15.4
Energy of formation from the pure elements, eV/f.u.: -1.44
Calculated density, g/cm3: 18.21
SG: P4/mmm, No. 123

a b c (Å): 3.942 3.942 11.858
angles (deg): 90.00 90.00 90.00
Positions (direct):
Cr  0.000  0.000  0.000
Pd  0.000  0.000  0.331
Pd  0.000  0.000  0.669
Pt  0.000  0.500  0.160
Pt  0.000  0.500  0.500
Pt  0.000  0.500  0.840
Pt  0.500  0.000  0.160
Pt  0.500  0.000  0.500
Pt  0.500  0.000  0.840
Pt  0.500  0.500  0.000
Pt  0.500  0.500  0.330
Pt  0.500  0.500  0.670